CsMoO | PBE with a Hubbard U | relaxed

Properties
The energy above the most stable polymorph in this dataset comes out at 19.0 kJ per mole of atoms. The calculation puts the density of states at the Fermi level at 0.86 states/eV/f.u.

Cell: 3.1113 3.6025 13.5520 Å, 90.00 91.93 90.00°
Closest atoms and distances in Å follow each position.
Fractional coordinates of all 6 atoms:
Cs: 0.2315 0.2500 0.2877  4 O 2.86-2.90, 2 Cs 3.11
Cs: 0.7685 0.7500 0.7123  4 O 2.86-2.90, 2 Cs 3.11
Mo: 0.1469 0.7500 0.0584  2 O 2.07-2.24
Mo: 0.8531 0.2500 0.9416  2 O 2.07-2.24
O: 0.2996 0.2500 0.8320  2 Mo 2.07-2.24
O: 0.7004 0.7500 0.1680  2 Mo 2.07-2.24